{
  "formula": "Ac3Mn2CdO9",
  "functional": "PBE+U",
  "state": "optimized geometry",
  "sg": "P-3m1 (164)",
  "e_tot_ev_per_cell": -108.0,
  "lattice_angstrom": [[-2.830, 4.946, -0.566], [-1.737, -4.639, -2.875], [-4.218, -1.791, 5.438]],
  "species": ["Ac", "Ac", "Ac", "Mn", "Mn", "Cd", "O", "O", "O", "O", "O", "O", "O", "O", "O"],
  "frac_coords": [[0.333, 0.667, 0.675], [0.000, 0.000, 0.000], [0.667, 0.333, 0.325], [0.333, 0.667, 0.160], [0.667, 0.333, 0.840], [0.000, 0.000, 0.500], [0.825, 0.175, 0.685], [0.825, 0.650, 0.685], [0.350, 0.175, 0.685], [0.650, 0.825, 0.315], [0.175, 0.350, 0.315], [0.175, 0.825, 0.315], [0.500, 0.000, 0.000], [0.000, 0.500, 0.000], [0.500, 0.500, 0.000]]
}